No. 1
First-principles (PBE) data for crystalline PaCo5SnP2 at its relaxed geometry, as listed in Alexandria.

```
data_PaCo5SnP2
_chemical_formula_sum 'Pa1 Co5 Sn1 P2'
_cell_length_a 3.8819
_cell_length_b 3.8819
_cell_length_c 8.0553
_cell_angle_alpha 90.00
_cell_angle_beta 90.00
_cell_angle_gamma 90.00
_symmetry_space_group_name_H-M 'P 1'
_symmetry_Int_Tables_number 1
_symmetry_space_group_name_Hall 'P 1'
loop_
_atom_site_label
_atom_site_type_symbol
_atom_site_fract_x
_atom_site_fract_y
_atom_site_fract_z
_atom_site_occupancy
Pa1 Pa 0.0000 0.0000 0.0000 1
Co1 Co 0.0000 0.5000 0.2736 1
Co2 Co 0.0000 0.5000 0.7264 1
Co3 Co 0.5000 0.0000 0.2736 1
Co4 Co 0.5000 0.0000 0.7264 1
Co5 Co 0.5000 0.5000 0.5000 1
Sn1 Sn 0.0000 0.0000 0.5000 1
P1 P 0.5000 0.5000 0.1512 1
P2 P 0.5000 0.5000 0.8488 1
```

Computed properties:
- symmetry = P4/mmm, No. 123
- E_form (eV per atom) = -0.553

No. 2
First-principles (PBE) data for crystalline Li2CaZnF8 at its relaxed geometry, as listed in Alexandria.

```
data_Li2CaZnF8
_chemical_formula_sum 'Li2 Ca1 Zn1 F8'
_cell_length_a 4.5424
_cell_length_b 6.7785
_cell_length_c 4.7089
_cell_angle_alpha 90.00
_cell_angle_beta 90.51
_cell_angle_gamma 90.00
_symmetry_space_group_name_H-M 'P 1'
_symmetry_Int_Tables_number 1
_symmetry_space_group_name_Hall 'P 1'
loop_
_atom_site_label
_atom_site_type_symbol
_atom_site_fract_x
_atom_site_fract_y
_atom_site_fract_z
_atom_site_occupancy
Li1 Li 0.0000 0.2232 0.0000 1
Li2 Li 0.0000 0.7768 0.0000 1
Ca1 Ca 0.5000 0.5000 0.5000 1
Zn1 Zn 0.5000 0.0000 0.5000 1
F1 F 0.0673 0.5000 0.7624 1
F2 F 0.1668 0.0000 0.7558 1
F3 F 0.3435 0.2220 0.2664 1
F4 F 0.3435 0.7780 0.2664 1
F5 F 0.6565 0.2220 0.7336 1
F6 F 0.6565 0.7780 0.7336 1
F7 F 0.8332 0.0000 0.2442 1
F8 F 0.9327 0.5000 0.2376 1
```

Computed properties:
- symmetry = P2/m, No. 10
- raw formation energy (eV/atom) = -2.456

No. 3
First-principles (PBE) data for crystalline Y4Ho5Zr at its relaxed geometry, as listed in Alexandria.

```
data_Y4Ho5Zr
_chemical_formula_sum 'Y4 Ho5 Zr1'
_cell_length_a 6.0781
_cell_length_b 3.5005
_cell_length_c 14.4436
_cell_angle_alpha 90.00
_cell_angle_beta 98.18
_cell_angle_gamma 90.00
_symmetry_space_group_name_H-M 'P 1'
_symmetry_Int_Tables_number 1
_symmetry_space_group_name_Hall 'P 1'
loop_
_atom_site_label
_atom_site_type_symbol
_atom_site_fract_x
_atom_site_fract_y
_atom_site_fract_z
_atom_site_occupancy
Y1 Y 0.0978 0.0000 0.3086 1
Y2 Y 0.3944 0.5000 0.6960 1
Y3 Y 0.6056 0.5000 0.3040 1
Y4 Y 0.9022 0.0000 0.6914 1
Ho1 Ho 0.1997 0.5000 0.0998 1
Ho2 Ho 0.2997 0.0000 0.9001 1
Ho3 Ho 0.5000 0.0000 0.5000 1
Ho4 Ho 0.7003 0.0000 0.0999 1
Ho5 Ho 0.8003 0.5000 0.9002 1
Zr1 Zr 0.0000 0.5000 0.5000 1
```

Computed properties:
- symmetry = P2/m, No. 10
- E_form (eV per atom) = 0.055

No. 4
First-principles (PBE) data for crystalline TeRu2Cl at its relaxed geometry, as listed in Alexandria.

```
data_TeRu2Cl
_chemical_formula_sum 'Te1 Ru2 Cl1'
_cell_length_a 5.2523
_cell_length_b 5.2523
_cell_length_c 5.2523
_cell_angle_alpha 145.75
_cell_angle_beta 115.84
_cell_angle_gamma 74.78
_symmetry_space_group_name_H-M 'P 1'
_symmetry_Int_Tables_number 1
_symmetry_space_group_name_Hall 'P 1'
loop_
_atom_site_label
_atom_site_type_symbol
_atom_site_fract_x
_atom_site_fract_y
_atom_site_fract_z
_atom_site_occupancy
Te1 Te 0.0000 0.0000 0.0000 1
Ru1 Ru 0.2444 0.7444 0.5000 1
Ru2 Ru 0.7556 0.2556 0.5000 1
Cl1 Cl 0.5000 0.5000 0.0000 1
```

Computed properties:
- symmetry = Immm, No. 71
- raw formation energy (eV/atom) = 0.677

No. 5
First-principles (PBE) data for crystalline NbAlGe2Ru at its relaxed geometry, as listed in Alexandria.

```
data_NbAlGe2Ru
_chemical_formula_sum 'Nb1 Al1 Ge2 Ru1'
_cell_length_a 4.5929
_cell_length_b 4.5929
_cell_length_c 4.7583
_cell_angle_alpha 90.00
_cell_angle_beta 90.00
_cell_angle_gamma 90.00
_symmetry_space_group_name_H-M 'P 1'
_symmetry_Int_Tables_number 1
_symmetry_space_group_name_Hall 'P 1'
loop_
_atom_site_label
_atom_site_type_symbol
_atom_site_fract_x
_atom_site_fract_y
_atom_site_fract_z
_atom_site_occupancy
Nb1 Nb 0.0000 0.0000 0.0000 1
Al1 Al 0.0000 0.0000 0.5000 1
Ge1 Ge 0.0000 0.5000 0.5000 1
Ge2 Ge 0.5000 0.0000 0.5000 1
Ru1 Ru 0.5000 0.5000 0.0000 1
```

Computed properties:
- symmetry = P4/mmm, No. 123
- E_form (eV per atom) = 1.317

No. 6
First-principles (PBE) data for crystalline In3GePb12 at its relaxed geometry, as listed in Alexandria.

```
data_In3GePb12
_chemical_formula_sum 'In3 Ge1 Pb12'
_cell_length_a 4.8480
_cell_length_b 4.8480
_cell_length_c 20.6111
_cell_angle_alpha 90.00
_cell_angle_beta 90.00
_cell_angle_gamma 90.00
_symmetry_space_group_name_H-M 'P 1'
_symmetry_Int_Tables_number 1
_symmetry_space_group_name_Hall 'P 1'
loop_
_atom_site_label
_atom_site_type_symbol
_atom_site_fract_x
_atom_site_fract_y
_atom_site_fract_z
_atom_site_occupancy
In1 In 0.0000 0.0000 0.0000 1
In2 In 0.0000 0.0000 0.2514 1
In3 In 0.0000 0.0000 0.7486 1
Ge1 Ge 0.0000 0.0000 0.5000 1
Pb1 Pb 0.0000 0.5000 0.1262 1
Pb2 Pb 0.0000 0.5000 0.3798 1
Pb3 Pb 0.0000 0.5000 0.6202 1
Pb4 Pb 0.0000 0.5000 0.8738 1
Pb5 Pb 0.5000 0.0000 0.1262 1
Pb6 Pb 0.5000 0.0000 0.3798 1
Pb7 Pb 0.5000 0.0000 0.6202 1
Pb8 Pb 0.5000 0.0000 0.8738 1
Pb9 Pb 0.5000 0.5000 0.0000 1
Pb10 Pb 0.5000 0.5000 0.2533 1
Pb11 Pb 0.5000 0.5000 0.5000 1
Pb12 Pb 0.5000 0.5000 0.7467 1
```

Computed properties:
- symmetry = P4/mmm, No. 123
- E_form (eV per atom) = 0.045

No. 7
First-principles (PBE) data for crystalline Ag2AsSe at its relaxed geometry, as listed in Alexandria.

```
data_Ag2AsSe
_chemical_formula_sum 'Ag2 As1 Se1'
_cell_length_a 5.5106
_cell_length_b 5.5106
_cell_length_c 5.5106
_cell_angle_alpha 136.51
_cell_angle_beta 136.51
_cell_angle_gamma 63.19
_symmetry_space_group_name_H-M 'P 1'
_symmetry_Int_Tables_number 1
_symmetry_space_group_name_Hall 'P 1'
loop_
_atom_site_label
_atom_site_type_symbol
_atom_site_fract_x
_atom_site_fract_y
_atom_site_fract_z
_atom_site_occupancy
Ag1 Ag 0.0000 0.0000 0.0000 1
Ag2 Ag 0.7500 0.2500 0.5000 1
As1 As 0.2500 0.7500 0.5000 1
Se1 Se 0.5000 0.5000 0.0000 1
```

Computed properties:
- symmetry = I-4m2, No. 119
- raw formation energy (eV/atom) = 0.242

No. 8
First-principles (PBE) data for crystalline La3HfIn at its relaxed geometry, as listed in Alexandria.

```
data_La3HfIn
_chemical_formula_sum 'La3 Hf1 In1'
_cell_length_a 5.9505
_cell_length_b 5.9505
_cell_length_c 5.9505
_cell_angle_alpha 90.00
_cell_angle_beta 90.00
_cell_angle_gamma 90.00
_symmetry_space_group_name_H-M 'P 1'
_symmetry_Int_Tables_number 1
_symmetry_space_group_name_Hall 'P 1'
loop_
_atom_site_label
_atom_site_type_symbol
_atom_site_fract_x
_atom_site_fract_y
_atom_site_fract_z
_atom_site_occupancy
La1 La 0.0000 0.0000 0.5000 1
La2 La 0.0000 0.5000 0.0000 1
La3 La 0.5000 0.0000 0.0000 1
Hf1 Hf 0.5000 0.5000 0.5000 1
In1 In 0.0000 0.0000 0.0000 1
```

Computed properties:
- symmetry = Pm-3m, No. 221
- E_form (eV per atom) = 0.817